# MgZn2C (PBEsol, relaxed)
data_MgZn2C
_space_group_name_H-M_alt 'F m -3 m'
_space_group_IT_number 225
_space_group_name_Hall '-F 4 2 3'
_cell_length_a 6.038
_cell_length_b 6.038
_cell_length_c 6.038
_cell_angle_alpha 90.00
_cell_angle_beta 90.00
_cell_angle_gamma 90.00
loop_
_atom_site_label
_atom_site_fract_x
_atom_site_fract_y
_atom_site_fract_z
_atom_site_occupancy
Mg1 0.000 0.000 0.000 1
Zn1 0.250 0.250 0.250 1
C1 0.000 0.000 0.500 1
# V: 13.76 Å³ per atom
# uncorrected energy: -2.50 eV/atom
# calculated formation energy: 4.54 eV per formula unit
# magnetic moment: 0.000 μB/atom

---

# MnC2 (PBEsol, relaxed)
data_MnC2
_space_group_name_H-M_alt 'R 3 m'
_space_group_IT_number 160
_space_group_name_Hall 'R 3 -2"'
_cell_length_a 3.1994
_cell_length_b 3.1994
_cell_length_c 10.6067
_cell_angle_alpha 90.00
_cell_angle_beta 90.00
_cell_angle_gamma 120.00
loop_
_atom_site_label
_atom_site_fract_x
_atom_site_fract_y
_atom_site_fract_z
_atom_site_occupancy
Mn1 0.0000 0.0000 0.0000 1
C1 0.0000 0.0000 0.1576 1
C2 0.0000 0.0000 0.2870 1
# V: 10.45 Å³ per atom
# uncorrected energy: -8.74 eV/atom
# energy above the most stable polymorph in this dataset: 0.469 eV per atom
# calculated formation energy: 2.82 eV per formula unit
# magnetic moment: 0.000 μB/atom

---

# MnC2 (PBEsol, relaxed)
data_MnC2
_space_group_name_H-M_alt 'I 41/a m d'
_space_group_IT_number 141
_cell_length_a 3.285
_cell_length_b 3.285
_cell_length_c 8.068
_cell_angle_alpha 90.00
_cell_angle_beta 90.00
_cell_angle_gamma 90.00
loop_
_space_group_symop_operation_xyz
'x,y,z'
'-x,-y,-z'
'-y+1/4,x+3/4,z+1/4'
'y+1/4,-x+3/4,-z+1/4'
'-x+1/2,-y,z+1/2'
'x+1/2,y,-z+1/2'
'y+1/4,-x+1/4,z+3/4'
'-y+1/4,x+1/4,-z+3/4'
'x,-y,-z'
'-x,y,z'
'-y+1/4,-x+1/4,-z+3/4'
'y+1/4,x+1/4,z+3/4'
'-x+1/2,y,-z+1/2'
'x+1/2,-y,z+1/2'
'y+1/4,x+3/4,-z+1/4'
'-y+1/4,-x+3/4,z+1/4'
'x+1/2,y+1/2,z+1/2'
'-x+1/2,-y+1/2,-z+1/2'
'-y+3/4,x+1/4,z+3/4'
'y+3/4,-x+1/4,-z+3/4'
'-x,-y+1/2,z'
'x,y+1/2,-z'
'y+3/4,-x+3/4,z+1/4'
'-y+3/4,x+3/4,-z+1/4'
'x+1/2,-y+1/2,-z+1/2'
'-x+1/2,y+1/2,z+1/2'
'-y+3/4,-x+3/4,-z+1/4'
'y+3/4,x+3/4,z+1/4'
'-x,y+1/2,-z'
'x,-y+1/2,z'
'y+3/4,x+1/4,-z+3/4'
'-y+3/4,-x+1/4,z+3/4'
loop_
_atom_site_label
_atom_site_fract_x
_atom_site_fract_y
_atom_site_fract_z
_atom_site_occupancy
Mn1 0.000 0.250 0.375 1
C1 0.000 0.250 0.783 1
# V: 7.26 Å³ per atom
# uncorrected energy: -8.45 eV/atom
# energy above the most stable polymorph in this dataset: 0.764 eV per atom
# calculated formation energy: 3.70 eV per formula unit
# magnetic moment: 0.471 μB/atom

---

# Mn23C6 (PBEsol, relaxed)
data_Mn23C6
_space_group_name_H-M_alt 'F m -3 m'
_space_group_IT_number 225
_space_group_name_Hall '-F 4 2 3'
_cell_length_a 10.240
_cell_length_b 10.240
_cell_length_c 10.240
_cell_angle_alpha 90.00
_cell_angle_beta 90.00
_cell_angle_gamma 90.00
loop_
_atom_site_label
_atom_site_fract_x
_atom_site_fract_y
_atom_site_fract_z
_atom_site_occupancy
Mn1 0.000 0.000 0.000 1
Mn2 0.000 0.167 0.167 1
Mn3 0.118 0.118 0.382 1
Mn4 0.250 0.250 0.250 1
C1 0.000 0.000 0.276 1
# V: 9.26 Å³ per atom
# uncorrected energy: -9.86 eV/atom
# calculated formation energy: -3.57 eV per formula unit
# magnetic moment: 0.386 μB/atom

---

# MnC (PBEsol, relaxed)
data_MnC
_space_group_name_H-M_alt 'I 41 m d'
_space_group_IT_number 109
_space_group_name_Hall 'I 4bw -2'
_cell_length_a 2.578
_cell_length_b 2.578
_cell_length_c 9.197
_cell_angle_alpha 90.00
_cell_angle_beta 90.00
_cell_angle_gamma 90.00
loop_
_atom_site_label
_atom_site_fract_x
_atom_site_fract_y
_atom_site_fract_z
_atom_site_occupancy
Mn1 0.000 0.000 0.000 1
C1 0.000 0.000 0.418 1
# V: 7.64 Å³ per atom
# uncorrected energy: -9.70 eV/atom
# calculated formation energy: 0.00 eV per formula unit
# magnetic moment: 0.090 μB/atom

---

# MnC2 (PBEsol, relaxed)
data_MnC2
_space_group_name_H-M_alt 'P 63/m m c'
_space_group_IT_number 194
_space_group_name_Hall '-P 6c 2c'
_cell_length_a 2.5433
_cell_length_b 2.5433
_cell_length_c 7.8514
_cell_angle_alpha 90.00
_cell_angle_beta 90.00
_cell_angle_gamma 120.00
loop_
_atom_site_label
_atom_site_fract_x
_atom_site_fract_y
_atom_site_fract_z
_atom_site_occupancy
Mn1 0.3333 0.6667 0.2500 1
C1 0.3333 0.6667 0.5218 1
# V: 7.33 Å³ per atom
# uncorrected energy: -9.20 eV/atom
# energy above the most stable polymorph in this dataset: 0.017 eV per atom
# calculated formation energy: 1.46 eV per formula unit
# magnetic moment: 0.729 μB/atom

---

# MnC2 (PBEsol, relaxed)
data_MnC2
_space_group_name_H-M_alt 'C 1 m 1'
_space_group_IT_number 8
_space_group_name_Hall 'C -2y'
_cell_length_a 8.754
_cell_length_b 2.502
_cell_length_c 4.179
_cell_angle_alpha 90.00
_cell_angle_beta 90.79
_cell_angle_gamma 90.00
loop_
_atom_site_label
_atom_site_fract_x
_atom_site_fract_y
_atom_site_fract_z
_atom_site_occupancy
Mn1 0.000 0.000 0.000 1
Mn2 0.241 0.500 0.304 1
C1 0.013 0.500 0.594 1
C2 0.069 0.000 0.440 1
C3 0.309 0.000 0.976 1
C4 0.338 0.000 0.634 1
# V: 7.63 Å³ per atom
# uncorrected energy: -9.03 eV/atom
# energy above the most stable polymorph in this dataset: 0.187 eV per atom
# calculated formation energy: 1.97 eV per formula unit
# magnetic moment: 0.248 μB/atom

---

# Mn3C (PBEsol, relaxed)
data_Mn3C
_space_group_name_H-M_alt 'P n m a'
_space_group_IT_number 62
_space_group_name_Hall '-P 2ac 2n'
_cell_length_a 4.883
_cell_length_b 6.598
_cell_length_c 4.391
_cell_angle_alpha 90.00
_cell_angle_beta 90.00
_cell_angle_gamma 90.00
loop_
_atom_site_label
_atom_site_fract_x
_atom_site_fract_y
_atom_site_fract_z
_atom_site_occupancy
Mn1 0.031 0.250 0.159 1
Mn2 0.186 0.065 0.656 1
C1 0.122 0.750 0.435 1
# V: 8.84 Å³ per atom
# uncorrected energy: -9.87 eV/atom
# calculated formation energy: -0.56 eV per formula unit
# magnetic moment: 0.001 μB/atom